(1)
Density functional theory data (PBE) for an optimized crystal structure of CaRu2Se. Values from VASP.

```
&SYSTEM
  ibrav = 0, nat = 4, ntyp = 3
/
ATOMIC_SPECIES
Ru 101.07 Ru.upf
Ca 40.08 Ca.upf
Se 78.96 Se.upf
CELL_PARAMETERS angstrom
3.826 0.000 0.000
0.000 3.715 -0.006
0.000 1.669 5.745
ATOMIC_POSITIONS angstrom
Ru 1.913 1.357 1.142
Ca 1.913 4.191 4.192
Ru 0.000 3.801 0.630
Se 0.000 2.442 2.639
```

Calculated values
DOS(E_F) in states/eV/f.u.: 2.37
Total energy in eV/cell: -24.2
Formation energy (no corrections) in meV per atom: -36



(2)
Density functional theory data (PBE) for an optimized crystal structure of YI2NO. Values from VASP.

```
&SYSTEM
  ibrav = 0, nat = 5, ntyp = 4
/
ATOMIC_SPECIES
I 126.90 I.upf
N 14.01 N.upf
O 16.00 O.upf
Y 88.91 Y.upf
CELL_PARAMETERS angstrom
-1.657 4.526 0.751
-4.370 -1.314 -1.723
-1.196 -1.077 3.854
ATOMIC_POSITIONS angstrom
I -2.185 -0.657 -0.862
N 0.000 0.000 0.000
I -0.828 2.263 0.375
O -0.598 -0.539 1.927
Y -3.611 1.067 1.440
```

Calculated values
DOS(E_F) in states/eV/f.u.: 2.61
Total energy in eV/cell: -20.7
E above lowest polymorph in meV per atom: 551
Formation energy (no corrections) in meV per atom: 439



(3)
Density functional theory data (PBE) for an optimized crystal structure of KNaCd2Sb2. Values from VASP.

```
&SYSTEM
  ibrav = 0, nat = 6, ntyp = 4
/
ATOMIC_SPECIES
Cd 112.41 Cd.upf
Sb 121.76 Sb.upf
K 39.10 K.upf
Na 22.99 Na.upf
CELL_PARAMETERS angstrom
4.887 0.000 0.000
-2.444 4.233 0.000
0.000 0.000 8.986
ATOMIC_POSITIONS angstrom
Cd 0.000 2.822 5.958
Sb 2.444 1.411 6.559
Sb 0.000 2.822 2.427
K 0.000 0.000 0.000
Cd 2.444 1.411 3.027
Na 0.000 0.000 4.493
```

Calculated values
DOS(E_F) in states/eV/f.u.: 0.85
Total energy in eV/cell: -14.6
Formation energy (no corrections) in meV per atom: -352



(4)
Density functional theory data (PBE) for an optimized crystal structure of Sc2SiPb. Values from VASP.

```
&SYSTEM
  ibrav = 0, nat = 4, ntyp = 3
/
ATOMIC_SPECIES
Sc 44.96 Sc.upf
Pb 207.20 Pb.upf
Si 28.09 Si.upf
CELL_PARAMETERS angstrom
3.903 -0.002 0.000
0.002 3.903 0.000
0.000 0.000 5.878
ATOMIC_POSITIONS angstrom
Sc 1.952 1.950 1.663
Sc 0.000 0.000 5.866
Pb 1.952 1.950 4.501
Si 0.000 0.000 2.666
```

Calculated values
DOS(E_F) in states/eV/f.u.: 3.90
Total energy in eV/cell: -22.6
E above lowest polymorph in meV per atom: 236
Formation energy (no corrections) in meV per atom: -208



(5)
Density functional theory data (PBE) for an optimized crystal structure of Pu3InSn2. Values from VASP.

```
&SYSTEM
  ibrav = 0, nat = 6, ntyp = 3
/
ATOMIC_SPECIES
Sn 118.71 Sn.upf
Pu 244.00 Pu.upf
In 114.82 In.upf
CELL_PARAMETERS angstrom
-2.706 -0.318 1.890
0.449 -3.284 0.090
7.920 1.401 11.571
ATOMIC_POSITIONS angstrom
Sn 5.485 -0.631 10.653
Pu 2.613 0.462 3.817
Pu 5.308 0.939 7.754
In 2.832 -1.101 6.776
Sn 0.178 -1.570 2.899
Pu 0.000 0.000 0.000
```

Calculated values
DOS(E_F) in states/eV/f.u.: 19.45
Total energy in eV/cell: -55.7
Calculated formation energy in kJ/mol of formula units: -184.6